A plane-wave DFT calculation with GGA-PBE was carried out for an optimized crystal structure of Pm3Ho3Er2.

Cell and atoms, written as extended XYZ:
```
8
Lattice="-1.0892 -4.9033 -2.7032 2.3662 2.2462 -5.0277 6.1285 -1.3650 6.0248" Properties=species:S:1:pos:R:3 pbc="T T T"
Pm 6.2756 -0.7037 -1.2521
Pm 0.6385 -1.3286 -3.8655
Pm 1.1298 -3.3185 -0.4540
Ho 4.3014 -4.5481 0.4986
Ho 3.1041 0.5260 -2.2047
Ho 0.0000 0.0000 0.0000
Er 3.8575 -2.8276 -2.4433
Er 3.5480 -1.1945 0.7372
```

The calculation puts the relative energy among the computed polymorphs at 65 meV per atom. The formation enthalpy at 0 K is 0.09 eV per atom. The magnetic moment is 0.0 Bohr magnetons per cell. The calculation puts the density of states at the Fermi level at 13.72 states/eV/cell. As for the total energy: -4.55 eV/atom.


A plane-wave DFT calculation with GGA-PBE was carried out for an optimized crystal structure of PmHo6Er12.

Cell and atoms, written as extended XYZ:
```
19
Lattice="-2.1578 -0.7487 8.9445 7.8344 -4.6735 -1.4145 1.6682 8.9062 -1.7654" Properties=species:S:1:pos:R:3 pbc="T T T"
Pm 0.0000 0.0000 0.0000
Ho 1.7403 4.3569 4.5494
Ho 4.3357 -1.3590 4.6971
Ho 5.9461 2.7048 0.1892
Ho 3.0090 4.8430 1.0675
Ho 5.6045 -0.8728 1.2152
Ho 1.3987 0.7792 5.5754
Er -0.2183 3.2703 6.9158
Er 0.9563 2.2889 2.4051
Er 2.3052 -0.6817 2.4818
Er 4.2026 2.0537 5.6256
Er 5.0396 4.1657 3.2828
Er 6.3885 1.1951 3.3596
Er 6.0733 -3.5456 3.0189
Er 5.1621 5.5014 -1.2878
Er 7.5631 0.2138 -1.1512
Er 1.2714 7.0296 2.7457
Er 2.1826 -2.0174 7.0525
Er 3.1421 1.4303 0.1390
```

The calculation puts the relative energy among the computed polymorphs at 284 meV per atom. The formation enthalpy at 0 K is 0.45 eV per atom. The magnetic moment is 0.0 Bohr magnetons per cell. The calculation puts the density of states at the Fermi level at 24.86 states/eV/cell. As for the total energy: -4.13 eV/atom.


A plane-wave DFT calculation with GGA-PBE was carried out for an optimized crystal structure of Pm4Ho19Er6.

Cell and atoms, written as extended XYZ:
```
29
Lattice="10.1423 0.0000 -3.5859 -5.0712 8.7834 -3.5859 0.0000 0.0000 10.7576" Properties=species:S:1:pos:R:3 pbc="T T T"
Pm 0.0000 0.0000 6.9030
Pm -3.2542 5.6362 8.4566
Pm 1.8170 3.1472 1.2848
Pm 1.4370 8.7834 -5.8869
Ho 7.4756 0.0000 5.2860
Ho 2.6667 0.0000 1.8857
Ho 1.3334 2.3094 -1.8857
Ho 3.7378 6.4740 -5.2861
Ho -3.7378 6.4740 5.2861
Ho -1.3334 2.3094 1.8857
Ho 10.1423 -0.0001 7.1717
Ho 0.9646 1.8802 4.3272
Ho 6.3738 2.9762 -3.9478
Ho 3.4738 5.8072 0.1535
Ho -3.9251 7.0079 0.7413
Ho -0.6700 6.9032 6.6388
Ho 4.4617 1.7754 -0.3619
Ho 8.3635 2.8714 3.7394
Ho 1.2422 5.9119 3.0529
Ho 2.9605 8.6786 -2.8446
Ho 3.3761 0.1047 7.3253
Ho -0.5723 4.7516 -0.5330
Ho 4.3779 4.0317 3.2239
Er 1.2503 4.3917 6.2630
Er 3.8208 4.3917 -2.6771
Er -1.8930 5.5047 2.6771
Er 6.9641 3.2787 0.9087
Er 0.6426 7.6704 -0.9088
Er 4.4285 1.1129 4.4946
```

The formation enthalpy at 0 K is 0.40 eV per atom. The magnetic moment is 0.0 Bohr magnetons per cell. The calculation puts the density of states at the Fermi level at 44.25 states/eV/cell. As for the total energy: -4.20 eV/atom.